The following is a PBE calculation of an optimized crystal structure of Ir2RhAu, from Alexandria via LeMat-Bulk.

Output
Polymorph energy (0 for the lowest one) in eV/atom: 0.389
Calculated volume in Å³/atom: 15.58
ΔH_f (0 K) in eV per atom: 0.52

Structure (POSCAR):
```
Ir2RhAu
1.0
-2.2283 -1.0697 3.7001
-2.5892 3.0225 1.9901
-4.4265 -0.4393 -0.1171
Ir Rh Au
2 1 1
Direct
0.0000 0.0000 0.0000
0.2500 0.2500 0.2500
0.7500 0.7500 0.7500
0.5000 0.5000 0.5000
```


The following is a PBE calculation of an optimized crystal structure of IrRh2Au, from Alexandria via LeMat-Bulk.

Output
Polymorph energy (0 for the lowest one) in eV/atom: 0.240
Calculated volume in Å³/atom: 15.40
ΔH_f (0 K) in eV per atom: 0.31

Structure (POSCAR):
```
IrRh2Au
1.0
-1.1266 -2.1529 4.0552
0.5895 -4.2087 -2.0707
2.6550 0.0071 0.7414
Ir Rh Au
1 2 1
Direct
0.0000 0.0000 0.5000
0.5000 0.0000 0.0000
0.0000 0.5000 0.0000
0.5000 0.5000 0.5000
```


The following is a PBE calculation of an optimized crystal structure of Ir2RhAu, from Alexandria via LeMat-Bulk.

Output
Polymorph energy (0 for the lowest one) in eV/atom: 0.209
Calculated volume in Å³/atom: 15.24
ΔH_f (0 K) in eV per atom: 0.34

Structure (POSCAR):
```
Ir2RhAu
1.0
-3.6281 1.2676 0.8176
-1.3529 -3.6764 -0.3037
0.6704 -0.5648 3.8506
Ir Rh Au
2 1 1
Direct
0.0000 0.5000 0.0000
0.5000 0.0000 0.0000
0.5000 0.5000 0.5000
0.0000 0.0000 0.5000
```


The following is a PBE calculation of an optimized crystal structure of Ir2RhAu, from Alexandria via LeMat-Bulk.

Output
Polymorph energy (0 for the lowest one) in eV/atom: 0.175
Calculated volume in Å³/atom: 15.62
ΔH_f (0 K) in eV per atom: 0.30

Structure (POSCAR):
```
Ir2RhAu
1.0
1.2033 2.0401 -1.4064
-2.7354 -0.0599 0.3193
0.8309 5.0738 8.0709
Ir Rh Au
2 1 1
Direct
0.0000 0.0000 0.9875
0.5000 0.5000 0.7499
0.0000 0.0000 0.5111
0.5000 0.5000 0.2515
```


The following is a PBE calculation of an optimized crystal structure of Ir2RhAu, from Alexandria via LeMat-Bulk.

Output
Polymorph energy (0 for the lowest one) in eV/atom: 0.259
Calculated volume in Å³/atom: 15.56
ΔH_f (0 K) in eV per atom: 0.39

Structure (POSCAR):
```
Ir2RhAu
1.0
4.7962 0.0000 0.0000
0.0000 2.7569 -0.0008
0.0000 0.0122 4.7072
Ir Rh Au
2 1 1
Direct
0.0000 0.2453 0.7580
0.0000 0.7547 0.2420
0.5000 0.0000 0.0000
0.5000 0.5000 0.5000
```


The following is a PBE calculation of an optimized crystal structure of IrRh2Au, from Alexandria via LeMat-Bulk.

Output
Polymorph energy (0 for the lowest one) in eV/atom: 0.093
Calculated volume in Å³/atom: 15.22
ΔH_f (0 K) in eV per atom: 0.16

Structure (POSCAR):
```
IrRh2Au
1.0
-2.6260 0.8050 -0.3794
-0.1754 -1.6272 -2.2381
-2.4913 -5.9843 4.5460
Ir Rh Au
1 2 1
Direct
0.5000 0.5000 0.7684
0.0000 0.0000 0.9985
0.5000 0.5000 0.2339
0.0000 0.0000 0.4993
```


The following is a PBE calculation of an optimized crystal structure of Ir2RhAu, from Alexandria via LeMat-Bulk.

Output
Polymorph energy (0 for the lowest one) in eV/atom: 0.071
Calculated volume in Å³/atom: 15.27
ΔH_f (0 K) in eV per atom: 0.20

Structure (POSCAR):
```
Ir2RhAu
1.0
9.1677 -1.3897 -0.0012
9.1677 1.3897 -0.0012
8.9573 0.0000 2.3966
Ir Rh Au
2 1 1
Direct
0.7545 0.7545 0.7545
0.2455 0.2455 0.2455
0.5000 0.5000 0.5000
0.0000 0.0000 0.0000
```


The following is a PBE calculation of an optimized crystal structure of Ir2RhAu, from Alexandria via LeMat-Bulk.

Output
Polymorph energy (0 for the lowest one) in eV/atom: 0.000
Calculated volume in Å³/atom: 15.31
ΔH_f (0 K) in eV per atom: 0.13

Structure (POSCAR):
```
Ir2RhAu
1.0
2.7786 0.0000 0.0000
0.0000 2.7786 0.0000
0.0000 0.0000 7.9301
Ir Rh Au
2 1 1
Direct
0.0000 0.0000 0.0186
0.5000 0.5000 0.2488
0.0000 0.0000 0.4832
0.5000 0.5000 0.7494
```


The following is a PBE calculation of an optimized crystal structure of Ir2RhAu, from Alexandria via LeMat-Bulk.

Output
Polymorph energy (0 for the lowest one) in eV/atom: 0.011
Calculated volume in Å³/atom: 15.27
ΔH_f (0 K) in eV per atom: 0.14

Structure (POSCAR):
```
Ir2RhAu
1.0
9.1326 -1.3924 -0.0082
9.1326 1.3924 -0.0082
8.9224 0.0000 2.3944
Ir Rh Au
2 1 1
Direct
0.0047 0.0047 0.0047
0.7500 0.7500 0.7500
0.4957 0.4957 0.4957
0.2496 0.2496 0.2496
```


The following is a PBE calculation of an optimized crystal structure of IrRh2Au, from Alexandria via LeMat-Bulk.

Output
Polymorph energy (0 for the lowest one) in eV/atom: 0.212
Calculated volume in Å³/atom: 15.51
ΔH_f (0 K) in eV per atom: 0.28

Structure (POSCAR):
```
IrRh2Au
1.0
-0.1201 -3.9106 3.8982
-4.6348 -2.8075 1.0676
4.0973 1.4619 -3.4027
Ir Rh Au
1 2 1
Direct
0.7658 0.2658 0.5000
0.9957 0.9957 0.0000
0.2355 0.7355 0.5000
0.5030 0.5030 0.0000
```


The following is a PBE calculation of an optimized crystal structure of Ir2RhAu, from Alexandria via LeMat-Bulk.

Output
Polymorph energy (0 for the lowest one) in eV/atom: 0.628
Calculated volume in Å³/atom: 16.92
ΔH_f (0 K) in eV per atom: 0.76

Structure (POSCAR):
```
Ir2RhAu
1.0
-0.9154 -3.1381 6.3204
-1.8276 -6.0505 -3.2687
1.1899 -5.3624 1.5155
Rh Ir Au
2 4 2
Direct
0.5000 0.5000 0.0000
0.2500 0.7500 0.5000
0.5998 0.1250 0.2500
0.1502 0.6250 0.2500
0.3750 0.4002 0.7500
0.8750 0.8498 0.7500
0.0000 0.0000 0.0000
0.7500 0.2500 0.5000
```


The following is a PBE calculation of an optimized crystal structure of Ir2RhAu, from Alexandria via LeMat-Bulk.

Output
Polymorph energy (0 for the lowest one) in eV/atom: 0.142
Calculated volume in Å³/atom: 15.29
ΔH_f (0 K) in eV per atom: 0.27

Structure (POSCAR):
```
Ir2RhAu
1.0
-0.3308 -1.6220 -2.2288
2.5771 -2.4984 1.4357
-4.1935 -2.7978 2.6586
Ir Rh Au
2 1 1
Direct
0.0000 0.0000 0.7666
0.0000 0.0000 0.2334
0.5000 0.5000 0.0000
0.5000 0.5000 0.5000
```


The following is a PBE calculation of an optimized crystal structure of IrRh2Au, from Alexandria via LeMat-Bulk.

Output
Polymorph energy (0 for the lowest one) in eV/atom: 0.079
Calculated volume in Å³/atom: 15.20
ΔH_f (0 K) in eV per atom: 0.14

Structure (POSCAR):
```
IrRh2Au
1.0
-1.8093 2.1047 0.2500
-2.1350 -1.5031 -2.7961
-2.9462 -2.9908 3.8573
Ir Rh Au
1 2 1
Direct
0.5000 0.5000 0.5000
0.0000 0.0000 0.7330
0.0000 0.0000 0.2670
0.5000 0.5000 0.0000
```


The following is a PBE calculation of an optimized crystal structure of Ir4RhAu, from Alexandria via LeMat-Bulk.

Output
Calculated volume in Å³/atom: 16.33
ΔH_f (0 K) in eV per atom: 0.64

Structure (POSCAR):
```
Ir4RhAu
1.0
-0.2865 -5.0392 1.1405
1.2591 -1.6560 4.7380
-3.6818 -1.7228 3.2020
Ir Rh Au
4 1 1
Direct
0.6248 0.6248 0.1256
0.6248 0.1256 0.6248
0.6248 0.6248 0.6248
0.1256 0.6248 0.6248
0.2500 0.2500 0.2500
0.0000 0.0000 0.0000
```


The following is a PBE calculation of an optimized crystal structure of IrRh2Au, from Alexandria via LeMat-Bulk.

Output
Polymorph energy (0 for the lowest one) in eV/atom: 0.029
Calculated volume in Å³/atom: 15.20
ΔH_f (0 K) in eV per atom: 0.09

Structure (POSCAR):
```
IrRh2Au
1.0
-0.8063 -9.1706 -0.2384
1.4762 -8.9084 -1.8077
1.6968 -8.9999 0.9644
Rh Ir Au
2 1 1
Direct
0.0045 0.0045 0.0045
0.4955 0.4955 0.4955
0.7500 0.7500 0.7500
0.2500 0.2500 0.2500
```


Result set for electronic total energy: -26.279 -25.620 -26.999 -27.136 -26.799 -26.206 -27.550 -27.835 -27.792 -25.733 -50.648 -27.268 -26.265 -42.215 -26.461 eV/cell, one per record in the order listed.